[1]
Material: IrPbW3
Method: DFT, PBE-GGA
State: optimized geometry

Properties
Calculated total energy: -42.284 eV/cell
D(E_F): 6.46 states/eV/cell
Formation energy from the elements: 1.83 eV/atom
Distance to the lowest polymorph of the same formula: 0.000 eV/atom

Structure (extended XYZ):
```
5
Lattice="4.8297 0.0000 0.0000 0.0000 4.8297 0.0000 0.0000 0.0000 4.8297" Properties=species:S:1:pos:R:3 pbc="T T T"
Ir 0.0000 0.0000 0.0000
Pb 2.4149 2.4149 2.4149
W 0.0000 0.0000 2.4149
W 0.0000 2.4149 0.0000
W 2.4149 0.0000 0.0000
```


[2]
Material: Ir2PbW
Method: DFT, PBE-GGA
State: optimized geometry

Properties
Calculated total energy: -33.766 eV/cell
D(E_F): 1.93 states/eV/cell
Formation energy from the elements: 0.15 eV/atom

Structure (extended XYZ):
```
4
Lattice="2.9303 0.0000 0.0000 0.0000 2.9303 0.0000 0.0000 0.0000 8.2551" Properties=species:S:1:pos:R:3 pbc="T T T"
Ir 0.0000 0.0000 1.7519
Ir 0.0000 0.0000 6.5033
Pb 1.4652 1.4652 4.1276
W 1.4652 1.4652 0.0000
```


[3]
Material: Ir4PbW
Method: DFT, PBE-GGA
State: optimized geometry

Properties
Calculated total energy: -48.550 eV/cell
D(E_F): 7.20 states/eV/cell
Formation energy from the elements: 0.59 eV/atom

Structure (extended XYZ):
```
6
Lattice="0.0000 3.7114 3.7114 3.7114 0.0000 3.7114 3.7114 3.7114 0.0000" Properties=species:S:1:pos:R:3 pbc="T T T"
Ir 0.9304 0.9304 0.9304
Ir 2.7810 2.7810 0.9304
Ir 2.7810 0.9304 2.7810
Ir 0.9304 2.7810 2.7810
Pb 5.5671 5.5671 5.5671
W 3.7114 3.7114 3.7114
```


[4]
Material: IrPbW
Method: DFT, PBE-GGA
State: optimized geometry

Properties
Calculated total energy: -24.237 eV/cell
D(E_F): 3.30 states/eV/cell
Formation energy from the elements: 0.43 eV/atom
Distance to the lowest polymorph of the same formula: 0.000 eV/atom

Structure (extended XYZ):
```
3
Lattice="-1.5317 1.5317 6.2029 1.5317 -1.5317 6.2029 1.5317 1.5317 -6.2029" Properties=species:S:1:pos:R:3 pbc="T T T"
Ir 0.0000 0.0000 0.0000
Pb 0.0000 0.0000 8.6187
W 0.0000 0.0000 4.7530
```


[5]
Material: IrPbW
Method: DFT, PBE-GGA
State: optimized geometry

Properties
Calculated total energy: -23.892 eV/cell
D(E_F): 2.71 states/eV/cell
Formation energy from the elements: 0.54 eV/atom
Distance to the lowest polymorph of the same formula: 0.115 eV/atom

Structure (extended XYZ):
```
3
Lattice="2.9992 0.0000 0.0000 -1.4996 2.5974 0.0000 0.0000 0.0000 7.2471" Properties=species:S:1:pos:R:3 pbc="T T T"
Ir 0.0000 0.0000 0.0000
Pb 0.0000 1.7316 2.6175
W 1.4996 0.8658 5.2592
```


[6]
Material: Ir2PbW
Method: DFT, PBE-GGA
State: optimized geometry

Properties
Calculated total energy: -33.815 eV/cell
D(E_F): 1.89 states/eV/cell
Formation energy from the elements: 0.14 eV/atom

Structure (extended XYZ):
```
4
Lattice="2.9182 0.0000 0.0000 0.0000 2.9312 0.0000 -1.1671 0.0000 8.3343" Properties=species:S:1:pos:R:3 pbc="T T T"
Ir 0.0038 0.0000 1.7622
Ir 1.7473 0.0000 6.5721
Pb 0.8755 1.4656 4.1672
W 1.4591 1.4656 0.0000
```


[7]
Material: IrPb3W
Method: DFT, PBE-GGA
State: optimized geometry

Properties
Calculated total energy: -25.497 eV/cell
D(E_F): 4.95 states/eV/cell
Formation energy from the elements: 1.49 eV/atom
Distance to the lowest polymorph of the same formula: 0.100 eV/atom

Structure (extended XYZ):
```
5
Lattice="5.3486 0.0000 0.0000 0.0000 5.3486 0.0000 0.0000 0.0000 5.3486" Properties=species:S:1:pos:R:3 pbc="T T T"
Ir 0.0000 0.0000 0.0000
Pb 0.0000 2.6743 2.6743
Pb 2.6743 0.0000 2.6743
Pb 2.6743 2.6743 0.0000
W 2.6743 2.6743 2.6743
```


[8]
Material: Ir2PbW
Method: DFT, PBE-GGA
State: optimized geometry

Properties
Calculated total energy: -32.718 eV/cell
D(E_F): 3.44 states/eV/cell
Formation energy from the elements: 0.42 eV/atom

Structure (extended XYZ):
```
4
Lattice="4.6948 -1.4731 0.0000 4.6948 1.4731 0.0000 -0.7875 0.0000 4.9834" Properties=species:S:1:pos:R:3 pbc="T T T"
Ir 0.0000 0.0000 0.0000
Ir 6.7713 0.0000 1.4086
Pb 1.6920 0.0000 3.8740
W 4.1682 0.0000 2.2320
```


[9]
Material: Ir3PbW
Method: DFT, PBE-GGA
State: optimized geometry

Properties
Calculated total energy: -28.891 eV/cell
D(E_F): 17.73 states/eV/cell
Formation energy from the elements: 2.87 eV/atom
Distance to the lowest polymorph of the same formula: 1.567 eV/atom

Structure (extended XYZ):
```
5
Lattice="4.8456 0.0000 0.0000 0.0000 4.8456 0.0000 0.0000 0.0000 4.8456" Properties=species:S:1:pos:R:3 pbc="T T T"
Ir 0.0000 0.0000 2.4228
Ir 0.0000 2.4228 0.0000
Ir 2.4228 0.0000 0.0000
Pb 0.0000 0.0000 0.0000
W 2.4228 2.4228 2.4228
```


[10]
Material: Ir2PbW
Method: DFT, PBE-GGA
State: optimized geometry

Properties
Calculated total energy: -31.657 eV/cell
D(E_F): 2.97 states/eV/cell
Formation energy from the elements: 0.68 eV/atom

Structure (extended XYZ):
```
4
Lattice="2.9753 0.0000 0.0000 0.0000 4.7416 0.0000 0.0000 0.0000 4.8594" Properties=species:S:1:pos:R:3 pbc="T T T"
Ir 0.0000 0.0000 0.0000
Ir 1.4877 0.0000 2.4297
Pb 0.0000 2.3708 2.4297
W 1.4877 2.3708 0.0000
```


[11]
Material: Ir2PbW
Method: DFT, PBE-GGA
State: optimized geometry

Properties
Calculated total energy: -61.965 eV/cell
D(E_F): 6.74 states/eV/cell
Formation energy from the elements: 0.85 eV/atom

Structure (extended XYZ):
```
8
Lattice="-3.0395 3.0395 5.5313 3.0395 -3.0395 5.5313 3.0395 3.0395 -5.5313" Properties=species:S:1:pos:R:3 pbc="T T T"
Ir 4.5593 1.2970 -1.3828
Ir 1.2970 1.5198 1.3828
Ir -1.5198 1.7425 4.1485
Ir 1.7425 1.5198 6.9142
Pb 3.0395 0.0000 2.7657
Pb 0.0000 0.0000 5.5313
W 0.0000 0.0000 0.0000
W 0.0000 3.0395 2.7657
```


[12]
Material: Ir2PbW
Method: DFT, PBE-GGA
State: optimized geometry

Properties
Calculated total energy: -32.462 eV/cell
D(E_F): 3.17 states/eV/cell
Formation energy from the elements: 0.48 eV/atom

Structure (extended XYZ):
```
4
Lattice="4.6568 -1.4758 0.0000 4.6568 1.4758 0.0000 -0.6958 0.0000 5.0063" Properties=species:S:1:pos:R:3 pbc="T T T"
Ir 2.0960 0.0000 1.1084
Ir 6.5217 0.0000 3.8980
Pb -0.3479 0.0000 2.5032
W 4.6568 0.0000 0.0000
```